Entry 1:
Density functional theory data (PBE) for an optimized crystal structure of Nb3AgAu.

Values from the calculation:
- Magnetic moment: 1.33 μB per formula unit
- ΔE to the lowest computed polymorph: 178 meV per atom
- DFT total energy: -5.491 eV/atom

Geometry as CIF:
```
data_Nb3AgAu
_cell_length_a 4.896
_cell_length_b 4.896
_cell_length_c 4.896
_cell_angle_alpha 90.00
_cell_angle_beta 90.00
_cell_angle_gamma 90.00
_symmetry_space_group_name_H-M 'P m -3 m'
_symmetry_Int_Tables_number 221
_symmetry_space_group_name_Hall '-P 4 2 3'
loop_
_atom_site_label
_atom_site_type_symbol
_atom_site_fract_x
_atom_site_fract_y
_atom_site_fract_z
_atom_site_occupancy
Nb1 Nb 0.000 0.000 0.500 1
Ag1 Ag 0.000 0.000 0.000 1
Au1 Au 0.500 0.500 0.500 1
```



Entry 2:
Density functional theory data (PBE) for an optimized crystal structure of NbAg2TeAu.

Values from the calculation:
- Magnetic moment: 0.00 μB per formula unit
- DFT total energy: -3.227 eV/atom
- E_form (uncorrected): 1211 meV/atom

Geometry as CIF:
```
data_NbAg2TeAu
_cell_length_a 5.223
_cell_length_b 5.223
_cell_length_c 5.083
_cell_angle_alpha 90.00
_cell_angle_beta 90.00
_cell_angle_gamma 90.00
_symmetry_space_group_name_H-M 'P 4/m m m'
_symmetry_Int_Tables_number 123
_symmetry_space_group_name_Hall '-P 4 2'
loop_
_atom_site_label
_atom_site_type_symbol
_atom_site_fract_x
_atom_site_fract_y
_atom_site_fract_z
_atom_site_occupancy
Nb1 Nb 0.000 0.000 0.000 1
Ag1 Ag 0.000 0.500 0.000 1
Te1 Te 0.500 0.500 0.500 1
Au1 Au 0.000 0.000 0.500 1
```



Entry 3:
Density functional theory data (PBE) for an optimized crystal structure of NbVAgAu2.

Values from the calculation:
- Magnetic moment: 0.00 μB per formula unit
- DFT total energy: -4.629 eV/atom

Geometry as CIF:
```
data_NbVAgAu2
_cell_length_a 5.176
_cell_length_b 5.176
_cell_length_c 4.442
_cell_angle_alpha 90.00
_cell_angle_beta 90.00
_cell_angle_gamma 90.00
_symmetry_space_group_name_H-M 'P 4/m m m'
_symmetry_Int_Tables_number 123
_symmetry_space_group_name_Hall '-P 4 2'
loop_
_atom_site_label
_atom_site_type_symbol
_atom_site_fract_x
_atom_site_fract_y
_atom_site_fract_z
_atom_site_occupancy
Nb1 Nb 0.000 0.000 0.000 1
V1 V 0.000 0.000 0.500 1
Ag1 Ag 0.500 0.500 0.500 1
Au1 Au 0.000 0.500 0.000 1
```



Entry 4:
Density functional theory data (PBE) for an optimized crystal structure of Nd3Ag2Au2.

Values from the calculation:
- Magnetic moment: 0.00 μB per formula unit
- DFT total energy: -4.247 eV/atom

Geometry as CIF:
```
data_Nd3Ag2Au2
_cell_length_a 4.136
_cell_length_b 5.803
_cell_length_c 8.012
_cell_angle_alpha 90.49
_cell_angle_beta 90.34
_cell_angle_gamma 110.51
_symmetry_space_group_name_H-M 'P -1'
_symmetry_Int_Tables_number 2
loop_
_symmetry_equiv_pos_as_xyz
'x,y,z'
'-x,-y,-z'
loop_
_atom_site_label
_atom_site_type_symbol
_atom_site_fract_x
_atom_site_fract_y
_atom_site_fract_z
_atom_site_occupancy
Nd1 Nd 0.000 0.000 0.000 1
Nd2 Nd 0.362 0.725 0.354 1
Ag1 Ag 0.297 0.592 0.884 1
Au1 Au 0.082 0.170 0.360 1
```



Entry 5:
Density functional theory data (PBE) for an optimized crystal structure of Nd5Ag4Au.

Values from the calculation:
- Magnetic moment: 0.00 μB per formula unit
- DFT total energy: -4.213 eV/atom

Geometry as CIF:
```
data_Nd5Ag4Au
_cell_length_a 3.725
_cell_length_b 3.725
_cell_length_c 18.981
_cell_angle_alpha 90.00
_cell_angle_beta 90.00
_cell_angle_gamma 90.00
_symmetry_space_group_name_H-M 'P 4/m m m'
_symmetry_Int_Tables_number 123
_symmetry_space_group_name_Hall '-P 4 2'
loop_
_atom_site_label
_atom_site_type_symbol
_atom_site_fract_x
_atom_site_fract_y
_atom_site_fract_z
_atom_site_occupancy
Nd1 Nd 0.000 0.000 0.000 1
Nd2 Nd 0.000 0.000 0.201 1
Nd3 Nd 0.000 0.000 0.403 1
Ag1 Ag 0.500 0.500 0.101 1
Ag2 Ag 0.500 0.500 0.300 1
Au1 Au 0.500 0.500 0.500 1
```



Entry 6:
Density functional theory data (PBE) for an optimized crystal structure of NdAgAu.

Values from the calculation:
- Magnetic moment: 0.00 μB per formula unit
- ΔE to the lowest computed polymorph: 38 meV per atom
- DFT total energy: -4.164 eV/atom

Geometry as CIF:
```
data_NdAgAu
_cell_length_a 3.857
_cell_length_b 3.857
_cell_length_c 9.367
_cell_angle_alpha 90.00
_cell_angle_beta 90.00
_cell_angle_gamma 90.00
_symmetry_space_group_name_H-M 'I 4 m m'
_symmetry_Int_Tables_number 107
_symmetry_space_group_name_Hall 'I 4 -2'
loop_
_atom_site_label
_atom_site_type_symbol
_atom_site_fract_x
_atom_site_fract_y
_atom_site_fract_z
_atom_site_occupancy
Nd1 Nd 0.000 0.000 0.000 1
Ag1 Ag 0.000 0.000 0.326 1
Au1 Au 0.000 0.000 0.662 1
```



Entry 7:
Density functional theory data (PBE) for an optimized crystal structure of NdAgAu4.

Values from the calculation:
- Magnetic moment: 0.00 μB per formula unit
- ΔE to the lowest computed polymorph: 41 meV per atom
- DFT total energy: -3.831 eV/atom

Geometry as CIF:
```
data_NdAgAu4
_cell_length_a 13.600
_cell_length_b 7.227
_cell_length_c 5.499
_cell_angle_alpha 90.00
_cell_angle_beta 110.14
_cell_angle_gamma 90.00
_symmetry_space_group_name_H-M 'C 1 2/m 1'
_symmetry_Int_Tables_number 12
loop_
_symmetry_equiv_pos_as_xyz
'x,y,z'
'-x,-y,-z'
'-x,y,-z'
'x,-y,z'
'x+1/2,y+1/2,z'
'-x+1/2,-y+1/2,-z'
'-x+1/2,y+1/2,-z'
'x+1/2,-y+1/2,z'
loop_
_atom_site_label
_atom_site_type_symbol
_atom_site_fract_x
_atom_site_fract_y
_atom_site_fract_z
_atom_site_occupancy
Nd1 Nd 0.212 0.000 0.150 1
Ag1 Ag 0.033 0.500 0.761 1
Au1 Au 0.000 0.187 0.000 1
Au2 Au 0.118 0.198 0.574 1
Au3 Au 0.184 0.500 0.263 1
```



Entry 8:
Density functional theory data (PBE) for an optimized crystal structure of Nd5Ag2Au.

Values from the calculation:
- Magnetic moment: 0.00 μB per formula unit
- DFT total energy: -4.381 eV/atom

Geometry as CIF:
```
data_Nd5Ag2Au
_cell_length_a 7.564
_cell_length_b 7.564
_cell_length_c 16.269
_cell_angle_alpha 90.00
_cell_angle_beta 90.00
_cell_angle_gamma 90.00
_symmetry_space_group_name_H-M 'I 4/m c m'
_symmetry_Int_Tables_number 140
_symmetry_space_group_name_Hall '-I 4 2c'
loop_
_atom_site_label
_atom_site_type_symbol
_atom_site_fract_x
_atom_site_fract_y
_atom_site_fract_z
_atom_site_occupancy
Nd1 Nd 0.000 0.000 0.000 1
Nd2 Nd 0.168 0.332 0.154 1
Ag1 Ag 0.129 0.371 0.500 1
Au1 Au 0.000 0.000 0.250 1
```



Entry 9:
Density functional theory data (PBE) for an optimized crystal structure of Nd12AgAu6.

Values from the calculation:
- Magnetic moment: 0.00 μB per formula unit
- DFT total energy: -4.535 eV/atom

Geometry as CIF:
```
data_Nd12AgAu6
_cell_length_a 13.3932
_cell_length_b 13.3932
_cell_length_c 12.2027
_cell_angle_alpha 90.00
_cell_angle_beta 90.00
_cell_angle_gamma 120.00
_symmetry_space_group_name_H-M 'R -3'
_symmetry_Int_Tables_number 148
_symmetry_space_group_name_Hall '-R 3'
loop_
_atom_site_label
_atom_site_type_symbol
_atom_site_fract_x
_atom_site_fract_y
_atom_site_fract_z
_atom_site_occupancy
Nd1 Nd 0.0309 0.2128 0.3924 1
Nd2 Nd 0.0427 0.2128 0.8866 1
Ag1 Ag 0.0000 0.0000 0.0000 1
Au1 Au 0.0463 0.2643 0.6462 1
```



Entry 10:
Density functional theory data (PBE) for an optimized crystal structure of Nd3AgAu4.

Values from the calculation:
- Magnetic moment: 0.00 μB per formula unit
- DFT total energy: -4.377 eV/atom

Geometry as CIF:
```
data_Nd3AgAu4
_cell_length_a 4.068
_cell_length_b 7.211
_cell_length_c 14.388
_cell_angle_alpha 90.00
_cell_angle_beta 90.00
_cell_angle_gamma 90.00
_symmetry_space_group_name_H-M 'I m m m'
_symmetry_Int_Tables_number 71
_symmetry_space_group_name_Hall '-I 2 2'
loop_
_atom_site_label
_atom_site_type_symbol
_atom_site_fract_x
_atom_site_fract_y
_atom_site_fract_z
_atom_site_occupancy
Nd1 Nd 0.000 0.000 0.000 1
Nd2 Nd 0.000 0.500 0.183 1
Ag1 Ag 0.000 0.000 0.500 1
Au1 Au 0.000 0.302 0.370 1
```



Entry 11:
Density functional theory data (PBE) for an optimized crystal structure of Nd2AgAu.

Values from the calculation:
- Magnetic moment: 0.00 μB per formula unit
- DFT total energy: -4.276 eV/atom

Geometry as CIF:
```
data_Nd2AgAu
_cell_length_a 4.1845
_cell_length_b 4.1845
_cell_length_c 23.2882
_cell_angle_alpha 90.00
_cell_angle_beta 90.00
_cell_angle_gamma 120.00
_symmetry_space_group_name_H-M 'R 3 m'
_symmetry_Int_Tables_number 160
_symmetry_space_group_name_Hall 'R 3 -2"'
loop_
_atom_site_label
_atom_site_type_symbol
_atom_site_fract_x
_atom_site_fract_y
_atom_site_fract_z
_atom_site_occupancy
Nd1 Nd 0.0000 0.0000 0.0000 1
Nd2 Nd 0.0000 0.0000 0.1756 1
Ag1 Ag 0.0000 0.0000 0.7539 1
Au1 Au 0.0000 0.0000 0.5886 1
```



Entry 12:
Density functional theory data (PBE) for an optimized crystal structure of NdAg2Au9.

Values from the calculation:
- Magnetic moment: 0.00 μB per formula unit
- DFT total energy: -3.510 eV/atom

Geometry as CIF:
```
data_NdAg2Au9
_cell_length_a 5.5323
_cell_length_b 5.5323
_cell_length_c 27.7135
_cell_angle_alpha 90.00
_cell_angle_beta 90.00
_cell_angle_gamma 120.00
_symmetry_space_group_name_H-M 'R -3 m'
_symmetry_Int_Tables_number 166
_symmetry_space_group_name_Hall '-R 3 2"'
loop_
_atom_site_label
_atom_site_type_symbol
_atom_site_fract_x
_atom_site_fract_y
_atom_site_fract_z
_atom_site_occupancy
Nd1 Nd 0.0000 0.0000 0.0000 1
Ag1 Ag 0.0000 0.0000 0.1494 1
Au1 Au 0.0000 0.0000 0.3332 1
Au2 Au 0.0000 0.0000 0.5000 1
Au3 Au 0.0035 0.5018 0.9141 1
```



- Which formula does entry 11 have?
  Nd2AgAu



- DFT total energy of number 12 (NdAg2Au9)?
  -3.510 eV/atom



What did the tenth record say?
Density functional theory data (PBE) for an optimized crystal structure of Nd3AgAu4.

Values from the calculation:
- Magnetic moment: 0.00 μB per formula unit
- DFT total energy: -4.377 eV/atom

Geometry as CIF:
```
data_Nd3AgAu4
_cell_length_a 4.068
_cell_length_b 7.211
_cell_length_c 14.388
_cell_angle_alpha 90.00
_cell_angle_beta 90.00
_cell_angle_gamma 90.00
_symmetry_space_group_name_H-M 'I m m m'
_symmetry_Int_Tables_number 71
_symmetry_space_group_name_Hall '-I 2 2'
loop_
_atom_site_label
_atom_site_type_symbol
_atom_site_fract_x
_atom_site_fract_y
_atom_site_fract_z
_atom_site_occupancy
Nd1 Nd 0.000 0.000 0.000 1
Nd2 Nd 0.000 0.500 0.183 1
Ag1 Ag 0.000 0.000 0.500 1
Au1 Au 0.000 0.302 0.370 1
```